1.
An optimized crystal structure of K4TlBr2. Source: Alexandria, functional PBE. Values from VASP.

Cell and atoms, written as Quantum ESPRESSO input:
```
&SYSTEM
  ibrav = 0, nat = 14, ntyp = 3
/
ATOMIC_SPECIES
K 39.10 K.upf
Tl 204.38 Tl.upf
Br 79.90 Br.upf
ATOMIC_POSITIONS crystal
K 0.0000 0.0000 0.2021
K 0.0000 0.0000 0.7979
K 0.0000 0.5000 0.0000
K 0.0000 0.5000 0.5000
K 0.5000 0.0000 0.0000
K 0.5000 0.0000 0.5000
K 0.5000 0.5000 0.2979
K 0.5000 0.5000 0.7021
Tl 0.0000 0.0000 0.0000
Tl 0.5000 0.5000 0.5000
Br 0.0000 0.0000 0.3799
Br 0.0000 0.0000 0.6201
Br 0.5000 0.5000 0.1201
Br 0.5000 0.5000 0.8799
CELL_PARAMETERS angstrom
6.6711 0.0000 0.0000
0.0000 6.6711 0.0000
0.0000 0.0000 17.3309
```

Properties
Uncorrected formation energy = -669 meV/atom
Fermi-level density of states = 4.16 states/eV/f.u.

=====

2.
An optimized crystal structure of K2TlBr3. Source: Alexandria, functional PBE. Values from VASP.

Cell and atoms, written as Quantum ESPRESSO input:
```
&SYSTEM
  ibrav = 0, nat = 12, ntyp = 3
/
ATOMIC_SPECIES
K 39.10 K.upf
Tl 204.38 Tl.upf
Br 79.90 Br.upf
ATOMIC_POSITIONS crystal
K 0.1651 0.1651 0.1651
K 0.3349 0.3349 0.3349
K 0.6651 0.6651 0.6651
K 0.8349 0.8349 0.8349
Tl 0.0000 0.0000 0.0000
Tl 0.5000 0.5000 0.5000
Br 0.0796 0.7500 0.4204
Br 0.2500 0.5796 0.9204
Br 0.4204 0.0796 0.7500
Br 0.5796 0.9204 0.2500
Br 0.7500 0.4204 0.0796
Br 0.9204 0.2500 0.5796
CELL_PARAMETERS angstrom
4.0142 2.3176 8.1286
-4.0142 2.3176 8.1286
0.0000 -4.6352 8.1286
```

Properties
Uncorrected formation energy = -1437 meV/atom
Energy above the lowest structure with this stoichiometry = 20 meV per atom
Fermi-level density of states = 0.00 states/eV/f.u.

=====

3.
An optimized crystal structure of K3Tl5Br8. Source: Alexandria, functional PBE. Values from VASP.

Cell and atoms, written as Quantum ESPRESSO input:
```
&SYSTEM
  ibrav = 0, nat = 16, ntyp = 3
/
ATOMIC_SPECIES
K 39.10 K.upf
Tl 204.38 Tl.upf
Br 79.90 Br.upf
ATOMIC_POSITIONS crystal
K 0.0000 0.5000 0.5000
K 0.5000 0.0000 0.5000
K 0.5000 0.5000 0.0000
Tl 0.0000 0.0000 0.0000
Tl 0.0000 0.0000 0.5000
Tl 0.0000 0.5000 0.0000
Tl 0.5000 0.0000 0.0000
Tl 0.5000 0.5000 0.5000
Br 0.2500 0.2500 0.7461
Br 0.2500 0.7461 0.2500
Br 0.2517 0.2517 0.2517
Br 0.2539 0.7500 0.7500
Br 0.7461 0.2500 0.2500
Br 0.7483 0.7483 0.7483
Br 0.7500 0.2539 0.7500
Br 0.7500 0.7500 0.2539
CELL_PARAMETERS angstrom
4.7548 2.7452 7.7738
-4.7548 2.7452 7.7738
0.0000 -5.4903 7.7738
```

Properties
Uncorrected formation energy = -1196 meV/atom
Fermi-level density of states = 0.00 states/eV/f.u.

=====

4.
An optimized crystal structure of K2TlBr4. Source: Alexandria, functional PBE. Values from VASP.

Cell and atoms, written as Quantum ESPRESSO input:
```
&SYSTEM
  ibrav = 0, nat = 14, ntyp = 3
/
ATOMIC_SPECIES
K 39.10 K.upf
Tl 204.38 Tl.upf
Br 79.90 Br.upf
ATOMIC_POSITIONS crystal
K 0.0000 0.0000 0.1389
K 0.0000 0.0000 0.8611
K 0.5000 0.5000 0.3611
K 0.5000 0.5000 0.6389
Tl 0.0000 0.0000 0.5000
Tl 0.5000 0.5000 0.0000
Br 0.0000 0.0000 0.3260
Br 0.0000 0.0000 0.6740
Br 0.0000 0.5000 0.0000
Br 0.0000 0.5000 0.5000
Br 0.5000 0.0000 0.0000
Br 0.5000 0.0000 0.5000
Br 0.5000 0.5000 0.1740
Br 0.5000 0.5000 0.8260
CELL_PARAMETERS angstrom
5.7469 0.0000 0.0000
0.0000 5.7469 0.0000
0.0000 0.0000 17.0882
```

Properties
Uncorrected formation energy = -1192 meV/atom
Energy above the lowest structure with this stoichiometry = 36 meV per atom
Fermi-level density of states = 2.27 states/eV/f.u.

=====

5.
An optimized crystal structure of K2TlBr. Source: Alexandria, functional PBE. Values from VASP.

Cell and atoms, written as Quantum ESPRESSO input:
```
&SYSTEM
  ibrav = 0, nat = 4, ntyp = 3
/
ATOMIC_SPECIES
K 39.10 K.upf
Tl 204.38 Tl.upf
Br 79.90 Br.upf
ATOMIC_POSITIONS crystal
K 0.0000 0.0000 0.0000
K 0.5000 0.5000 0.5000
Tl 0.0000 0.0000 0.5000
Br 0.5000 0.5000 0.0000
CELL_PARAMETERS angstrom
5.7232 0.0000 0.0000
0.0000 4.0977 0.0000
-1.3722 0.0000 7.0205
```

Properties
Uncorrected formation energy = -605 meV/atom
Energy above the lowest structure with this stoichiometry = 198 meV per atom
Fermi-level density of states = 2.47 states/eV/f.u.

=====

6.
An optimized crystal structure of KTl4Br5. Source: Alexandria, functional PBE. Values from VASP.

Cell and atoms, written as Quantum ESPRESSO input:
```
&SYSTEM
  ibrav = 0, nat = 10, ntyp = 3
/
ATOMIC_SPECIES
K 39.10 K.upf
Tl 204.38 Tl.upf
Br 79.90 Br.upf
ATOMIC_POSITIONS crystal
K 0.0000 0.0000 0.0000
Tl 0.1995 0.1995 0.0000
Tl 0.4003 0.4003 0.0000
Tl 0.5997 0.5997 0.0000
Tl 0.8005 0.8005 0.0000
Br 0.0980 0.5980 0.5000
Br 0.2997 0.7997 0.5000
Br 0.5000 0.0000 0.5000
Br 0.7003 0.2003 0.5000
Br 0.9020 0.4020 0.5000
CELL_PARAMETERS angstrom
-2.3785 3.3627 11.9097
2.3785 -3.3627 11.9097
2.3785 3.3627 -11.9097
```

Properties
Uncorrected formation energy = -1042 meV/atom
Fermi-level density of states = 0.00 states/eV/f.u.

=====

7.
An optimized crystal structure of K2TlBr4. Source: Alexandria, functional PBE. Values from VASP.

Cell and atoms, written as Quantum ESPRESSO input:
```
&SYSTEM
  ibrav = 0, nat = 14, ntyp = 3
/
ATOMIC_SPECIES
K 39.10 K.upf
Tl 204.38 Tl.upf
Br 79.90 Br.upf
ATOMIC_POSITIONS crystal
K 0.0885 0.1841 0.0000
K 0.4115 0.6841 0.0000
K 0.5885 0.3159 0.0000
K 0.9115 0.8159 0.0000
Tl 0.0000 0.5000 0.5000
Tl 0.5000 0.0000 0.5000
Br 0.1348 0.7095 0.5000
Br 0.2250 0.4484 0.0000
Br 0.2750 0.9484 0.0000
Br 0.3652 0.2095 0.5000
Br 0.6348 0.7905 0.5000
Br 0.7250 0.0516 0.0000
Br 0.7750 0.5516 0.0000
Br 0.8652 0.2905 0.5000
CELL_PARAMETERS angstrom
8.2447 0.0000 0.0000
0.0000 13.1292 0.0000
0.0000 0.0000 4.7928
```

Properties
Uncorrected formation energy = -1229 meV/atom
Energy above the lowest structure with this stoichiometry = 0 meV per atom
Fermi-level density of states = 4.29 states/eV/f.u.

=====

8.
An optimized crystal structure of KTl2Br6. Source: Alexandria, functional PBE. Values from VASP.

Cell and atoms, written as Quantum ESPRESSO input:
```
&SYSTEM
  ibrav = 0, nat = 9, ntyp = 3
/
ATOMIC_SPECIES
K 39.10 K.upf
Tl 204.38 Tl.upf
Br 79.90 Br.upf
ATOMIC_POSITIONS crystal
K 0.0000 0.0000 0.0000
Tl 0.3333 0.6667 0.5000
Tl 0.6667 0.3333 0.5000
Br 0.0211 0.3796 0.7324
Br 0.0211 0.6415 0.2676
Br 0.3585 0.3796 0.2676
Br 0.3585 0.9789 0.7324
Br 0.6204 0.6415 0.7324
Br 0.6204 0.9789 0.2676
CELL_PARAMETERS angstrom
7.5651 0.0000 0.0000
-3.7826 6.5516 0.0000
0.0000 0.0000 7.1296
```

Properties
Uncorrected formation energy = -756 meV/atom
Fermi-level density of states = 6.34 states/eV/f.u.

=====

9.
An optimized crystal structure of KTl2Br8. Source: Alexandria, functional PBE. Values from VASP.

Cell and atoms, written as Quantum ESPRESSO input:
```
&SYSTEM
  ibrav = 0, nat = 11, ntyp = 3
/
ATOMIC_SPECIES
K 39.10 K.upf
Tl 204.38 Tl.upf
Br 79.90 Br.upf
ATOMIC_POSITIONS crystal
K 0.0000 0.0000 0.0000
Tl 0.1696 0.1696 0.6615
Tl 0.8304 0.8304 0.3385
Br 0.1795 0.6736 0.2890
Br 0.1880 0.1880 0.3275
Br 0.3024 0.3024 0.9336
Br 0.3264 0.8205 0.7110
Br 0.6736 0.1795 0.2890
Br 0.6976 0.6976 0.0664
Br 0.8120 0.8120 0.6725
Br 0.8205 0.3264 0.7110
CELL_PARAMETERS angstrom
8.4257 -4.0046 0.0000
8.4257 4.0046 0.0000
-1.9785 0.0000 7.1971
```

Properties
Uncorrected formation energy = -588 meV/atom
Energy above the lowest structure with this stoichiometry = 6 meV per atom
Fermi-level density of states = 6.34 states/eV/f.u.

=====

10.
An optimized crystal structure of KTlBr2. Source: Alexandria, functional PBE. Values from VASP.

Cell and atoms, written as Quantum ESPRESSO input:
```
&SYSTEM
  ibrav = 0, nat = 12, ntyp = 3
/
ATOMIC_SPECIES
K 39.10 K.upf
Tl 204.38 Tl.upf
Br 79.90 Br.upf
ATOMIC_POSITIONS crystal
K 0.0000 0.0000 0.0000
K 0.3333 0.6667 0.6667
K 0.6667 0.3333 0.3333
Tl 0.0000 0.0000 0.5000
Tl 0.3333 0.6667 0.1667
Tl 0.6667 0.3333 0.8333
Br 0.0000 0.0000 0.1052
Br 0.0000 0.0000 0.8948
Br 0.3333 0.6667 0.5615
Br 0.3333 0.6667 0.7718
Br 0.6667 0.3333 0.2282
Br 0.6667 0.3333 0.4385
CELL_PARAMETERS angstrom
5.0900 0.0000 0.0000
-2.5450 4.4081 0.0000
0.0000 0.0000 28.3366
```

Properties
Uncorrected formation energy = -1044 meV/atom
Energy above the lowest structure with this stoichiometry = 268 meV per atom
Fermi-level density of states = 0.00 states/eV/f.u.

=====

11.
An optimized crystal structure of K6TlBr8. Source: Alexandria, functional PBE. Values from VASP.

Cell and atoms, written as Quantum ESPRESSO input:
```
&SYSTEM
  ibrav = 0, nat = 15, ntyp = 3
/
ATOMIC_SPECIES
K 39.10 K.upf
Tl 204.38 Tl.upf
Br 79.90 Br.upf
ATOMIC_POSITIONS crystal
K 0.0000 0.3737 0.2844
K 0.0000 0.6263 0.7156
K 0.3737 0.0000 0.2844
K 0.3737 0.3737 0.7156
K 0.6263 0.0000 0.7156
K 0.6263 0.6263 0.2844
Tl 0.0000 0.0000 0.0000
Br 0.0000 0.2753 0.7847
Br 0.0000 0.7247 0.2153
Br 0.2753 0.0000 0.7847
Br 0.2753 0.2753 0.2153
Br 0.3333 0.6667 0.5000
Br 0.6667 0.3333 0.5000
Br 0.7247 0.0000 0.2153
Br 0.7247 0.7247 0.7847
CELL_PARAMETERS angstrom
9.7229 0.0000 0.0000
-4.8614 8.4202 0.0000
0.0000 0.0000 6.9649
```

Properties
Uncorrected formation energy = -1459 meV/atom
Fermi-level density of states = 6.53 states/eV/f.u.

=====

12.
An optimized crystal structure of K3TlBr6. Source: Alexandria, functional PBE. Values from VASP.

Cell and atoms, written as Quantum ESPRESSO input:
```
&SYSTEM
  ibrav = 0, nat = 10, ntyp = 3
/
ATOMIC_SPECIES
K 39.10 K.upf
Tl 204.38 Tl.upf
Br 79.90 Br.upf
ATOMIC_POSITIONS crystal
K 0.0000 0.0000 0.0000
K 0.2500 0.2500 0.2500
K 0.7500 0.7500 0.7500
Tl 0.5000 0.5000 0.5000
Br 0.2643 0.2643 0.7357
Br 0.2643 0.7357 0.2643
Br 0.2643 0.7357 0.7357
Br 0.7357 0.2643 0.2643
Br 0.7357 0.2643 0.7357
Br 0.7357 0.7357 0.2643
CELL_PARAMETERS angstrom
0.0000 5.8720 5.8720
5.8720 0.0000 5.8720
5.8720 5.8720 0.0000
```

Properties
Uncorrected formation energy = -1164 meV/atom
Energy above the lowest structure with this stoichiometry = 79 meV per atom